# AlV6Cr2 (PBE, optimized geometry)
data_AlV6Cr2
_chemical_formula_sum 'Al4 V24 Cr8'
_symmetry_space_group_name_H-M 'I m m m'
_symmetry_Int_Tables_number 71
_symmetry_space_group_name_Hall '-I 2 2'
_cell_length_a 7.651
_cell_length_b 7.993
_cell_length_c 8.154
_cell_angle_alpha 90.00
_cell_angle_beta 90.00
_cell_angle_gamma 90.00
loop_
_atom_site_label
_atom_site_type_symbol
_atom_site_fract_x
_atom_site_fract_y
_atom_site_fract_z
_atom_site_occupancy
Al1 Al 0.000 0.000 0.000 1
Al2 Al 0.000 0.500 0.500 1
V1 V 0.000 0.209 0.271 1
V2 V 0.212 0.500 0.247 1
V3 V 0.237 0.282 0.500 1
Cr1 Cr 0.000 0.357 0.000 1
Cr2 Cr 0.172 0.000 0.500 1
# Magnetization: 0.00 μB per formula unit
# Energy of formation: 213 meV/atom